Below is a relaxed structure of Sc2TaCd, with properties calculated at the GGA-PBEsol level.

magnetization: 0.8 μB/f.u.
volume: 20.85 A^3/atom
crystal system: trigonal
formation energy from the elements: 0.375 eV per atom
calculated total energy: -6.3649 eV/atom

Lattice parameters (Å, degrees): 2.986 2.986 10.939 82.16 82.16 60.00
Element x y z (fractional)
Sc (0.913, 0.913, 0.260)
Sc (0.087, 0.087, 0.740)
Cd (0.500, 0.500, 0.500)
Ta (0.000, 0.000, 0.000)

---

Below is a relaxed structure of Mg2ScBr, with properties calculated at the GGA-PBEsol level.

magnetization: 0.6 μB/f.u.
E above lowest polymorph: 97 meV/atom
volume: 23.55 A^3/atom
crystal system: tetragonal
calculated total energy: -3.2800 eV/atom
formation energy (no corrections): -0.3027 eV/atom

Lattice parameters (Å, degrees): 3.352 3.352 8.384 90.00 90.00 90.00
Element x y z (fractional)
Sc (0.500, 0.500, 0.000)
Br (0.500, 0.500, 0.500)
Mg (0.000, 0.000, 0.253)
Mg (0.000, 0.000, 0.747)

---

Below is a relaxed structure of ReSi2Sb, with properties calculated at the GGA-PBEsol level.

magnetization: 0.0 μB/f.u.
volume: 16.05 A^3/atom
crystal system: cubic
calculated total energy: -6.7807 eV/atom
formation energy (no corrections): 0.5650 eV/atom

Lattice parameters (Å, degrees): 4.494 4.494 4.494 60.00 60.00 60.00
Element x y z (fractional)
Re (0.500, 0.500, 0.500)
Si (0.000, 0.000, 0.000)
Si (0.750, 0.750, 0.750)
Sb (0.250, 0.250, 0.250)

---

Below is a relaxed structure of Ir3RhW, with properties calculated at the GGA-PBEsol level.

magnetization: 1.4 μB/f.u.
volume: 19.95 A^3/atom
crystal system: cubic
formation energy from the elements: 2.113 eV per atom
calculated total energy: -8.1706 eV/atom

Lattice parameters (Å, degrees): 4.637 4.637 4.637 90.00 90.00 90.00
Element x y z (fractional)
Rh (0.500, 0.500, 0.500)
W (0.000, 0.000, 0.000)
Ir (0.500, 0.000, 0.000)
Ir (0.000, 0.500, 0.000)
Ir (0.000, 0.000, 0.500)

---

Below is a relaxed structure of LiCaSn, with properties calculated at the GGA-PBEsol level.

magnetization: 0.0 μB/f.u.
volume: 24.20 A^3/atom
crystal system: hexagonal
formation energy from the elements: -0.593 eV per atom
calculated total energy: -3.3793 eV/atom

Lattice parameters (Å, degrees): 4.861 4.861 10.645 90.00 90.00 120.00
Element x y z (fractional)
Ca (0.000, 0.000, 0.667)
Ca (0.000, 0.000, 0.000)
Ca (0.000, 0.000, 0.333)
Li (0.333, 0.667, 0.500)
Li (0.667, 0.333, 0.197)
Li (0.667, 0.333, 0.803)
Sn (0.333, 0.667, 0.148)
Sn (0.667, 0.333, 0.500)
Sn (0.333, 0.667, 0.852)

---

Below is a relaxed structure of CrRu2Se, with properties calculated at the GGA-PBEsol level.

magnetization: 0.0 μB/f.u.
volume: 13.56 A^3/atom
crystal system: trigonal
calculated total energy: -8.3406 eV/atom
formation energy (no corrections): 0.2687 eV/atom

Lattice parameters (Å, degrees): 2.783 2.783 8.240 80.28 80.28 60.00
Element x y z (fractional)
Cr (0.000, 0.000, 0.000)
Se (0.500, 0.500, 0.500)
Ru (0.252, 0.252, 0.243)
Ru (0.748, 0.748, 0.757)

---

What is the formula in the third record?
ReSi2Sb